Here is a geometry-optimized K2ScHgTe4 structure from the Alexandria database. Energies are from PBE-GGA.

Results
E_tot	-3.398	eV per atom
calculated density	4.98	g/cm³

abc: 8.6242 8.6242 7.4736
angles: 90.00 90.00 90.00
Space group I-42m (No. 121)
Asymmetric unit:
K (0.0000, 0.5000, 0.0000) x4
Sc (0.0000, 0.0000, 0.0000) x2
Hg (0.0000, 0.0000, 0.5000) x2
Te (0.1780, 0.1780, 0.2438) x8

Here is a geometry-optimized KScHgTe3 structure from the Alexandria database. Energies are from PBE-GGA.

Results
E_tot	-3.707	eV per atom
calculated density	5.43	g/cm³

abc: 9.1528 4.3752 10.7401
angles: 90.00 108.47 90.00
Space group P2_1/m (No. 11)
Asymmetric unit:
K (0.2190, 0.2500, 0.2588) x2
Sc (0.3312, 0.7500, 0.8639) x2
Hg (0.0797, 0.2500, 0.6102) x2
Te (0.1097, 0.2500, 0.8768) x2
Te (0.2600, 0.7500, 0.5568) x2
Te (0.4563, 0.7500, 0.1475) x2